{
  "formula": "In3SbAu3",
  "functional": "GGA-PBE",
  "state": "optimized geometry",
  "raw_formation_energy_ev_per_fu": -0.76,
  "lattice_angstrom": [[4.191, 2.420, 5.856], [-4.191, 2.420, 5.856], [0.000, -4.840, 5.856]],
  "species": ["In", "In", "In", "In", "In", "In", "Sb", "Sb", "Au", "Au", "Au", "Au", "Au", "Au"],
  "fractional_positions": [[0.112, 0.372, 0.815], [0.185, 0.888, 0.628], [0.372, 0.815, 0.112], [0.628, 0.185, 0.888], [0.815, 0.112, 0.372], [0.888, 0.628, 0.185], [0.335, 0.335, 0.335], [0.665, 0.665, 0.665], [0.059, 0.714, 0.445], [0.286, 0.555, 0.941], [0.445, 0.059, 0.714], [0.555, 0.941, 0.286], [0.714, 0.445, 0.059], [0.941, 0.286, 0.555]]
}

{
  "formula": "CeMg3Rh",
  "functional": "GGA-PBE",
  "state": "optimized geometry",
  "formation_energy_mev_per_atom": -232,
  "lattice_angstrom": [[5.340, -4.060, 0.000], [5.340, 4.060, 0.000], [-4.383, 0.000, 5.568]],
  "species": ["Ce", "Ce", "Mg", "Mg", "Mg", "Mg", "Mg", "Mg", "Rh", "Rh"],
  "fractional_positions": [[0.045, 0.045, 0.285], [0.955, 0.955, 0.715], [0.121, 0.484, 0.862], [0.441, 0.441, 0.637], [0.484, 0.121, 0.862], [0.516, 0.879, 0.138], [0.559, 0.559, 0.363], [0.879, 0.516, 0.138], [0.238, 0.238, 0.142], [0.762, 0.762, 0.858]]
}

{
  "formula": "KYBi2Cl",
  "functional": "GGA-PBE",
  "state": "optimized geometry",
  "raw_formation_energy_ev_per_fu": -0.83,
  "lattice_angstrom": [[5.763, 0.000, 0.000], [0.000, 5.763, 0.000], [0.000, 0.000, 13.342]],
  "species": ["K", "Y", "Bi", "Bi", "Cl"],
  "fractional_positions": [[0.000, 0.000, 0.000], [0.000, 0.000, 0.500], [0.000, 0.500, 0.500], [0.500, 0.000, 0.500], [0.500, 0.500, 0.000]]
}

{
  "formula": "MnNb2GaC",
  "functional": "GGA-PBE",
  "state": "optimized geometry",
  "formation_energy_mev_per_atom": -184,
  "lattice_angstrom": [[4.358, 0.000, 0.000], [0.000, 4.358, 0.000], [0.000, 0.000, 3.791]],
  "species": ["Mn", "Nb", "Nb", "Ga", "C"],
  "fractional_positions": [[0.000, 0.000, 0.000], [0.000, 0.500, 0.500], [0.500, 0.000, 0.500], [0.500, 0.500, 0.000], [0.000, 0.000, 0.500]]
}

{
  "formula": "Er2Zr3Te8",
  "functional": "GGA-PBE",
  "state": "optimized geometry",
  "raw_formation_energy_ev_per_fu": -12.55,
  "lattice_angstrom": [[7.558, -4.097, 0.000], [7.558, 4.097, 0.000], [-1.967, 0.000, 6.799]],
  "species": ["Er", "Er", "Zr", "Zr", "Zr", "Te", "Te", "Te", "Te", "Te", "Te", "Te", "Te"],
  "fractional_positions": [[0.243, 0.243, 0.321], [0.757, 0.757, 0.679], [0.000, 0.000, 0.500], [0.245, 0.755, 0.000], [0.755, 0.245, 0.000], [0.124, 0.124, 0.900], [0.139, 0.626, 0.590], [0.374, 0.861, 0.410], [0.391, 0.391, 0.106], [0.609, 0.609, 0.894], [0.626, 0.139, 0.590], [0.861, 0.374, 0.410], [0.876, 0.876, 0.100]]
}

{
  "formula": "Na2InRhN",
  "functional": "GGA-PBE",
  "state": "optimized geometry",
  "raw_formation_energy_ev_per_fu": -0.04,
  "lattice_angstrom": [[5.016, 0.000, 0.000], [0.000, 5.016, 0.000], [0.000, 0.000, 3.774]],
  "species": ["Na", "Na", "In", "Rh", "N"],
  "fractional_positions": [[0.000, 0.500, 0.000], [0.500, 0.000, 0.000], [0.000, 0.000, 0.500], [0.500, 0.500, 0.500], [0.500, 0.500, 0.000]]
}

{
  "formula": "ZnCd3",
  "functional": "GGA-PBE",
  "state": "optimized geometry",
  "formation_energy_mev_per_atom": 48,
  "lattice_angstrom": [[5.519, 0.000, 0.000], [0.000, 5.947, 0.000], [0.000, 0.000, 5.098]],
  "species": ["Zn", "Zn", "Cd", "Cd", "Cd", "Cd", "Cd", "Cd"],
  "fractional_positions": [[0.250, 0.250, 0.166], [0.750, 0.750, 0.834], [0.250, 0.004, 0.665], [0.250, 0.496, 0.665], [0.250, 0.750, 0.160], [0.750, 0.250, 0.840], [0.750, 0.504, 0.335], [0.750, 0.996, 0.335]]
}

Number 1: N(E_F) 4.8 states/eV/cell. Number 2: N(E_F) 14.4 states/eV/cell. Number 3: N(E_F) 2.6 states/eV/cell. Number 4: N(E_F) 4.9 states/eV/cell. Number 5: N(E_F) 7.8 states/eV/cell. Number 6: N(E_F) 1.3 states/eV/cell. Number 7: N(E_F) 1.6 states/eV/cell.